A relaxed CePrPuSn crystal. Source: Alexandria via LeMat-Bulk, functional PBE.

energy of formation from the pure elements: -162.2 meV/atom
density: 9.6 g/cm3

Lattice parameters (Å, degrees): 5.4020 5.4020 5.4020 60.00 60.00 60.00
With the nearest neighbours (Å) after each atom.
Sites, in units of the cell vectors:
Pr (0.5000, 0.5000, 0.5000)  4 Ce 3.31, 4 Sn 3.31
Sn (0.2500, 0.2500, 0.2500)  4 Pr 3.31, 4 Pu 3.31
Ce (0.7500, 0.7500, 0.7500)  4 Pu 3.31, 4 Pr 3.31
Pu (0.0000, 0.0000, 0.0000)  4 Sn 3.31, 4 Ce 3.31

***

A relaxed TbCePrPu crystal. Source: Alexandria via LeMat-Bulk, functional PBE.

energy of formation from the pure elements: 288.8 meV/atom
density: 8.9 g/cm3

Lattice parameters (Å, degrees): 5.6445 5.6445 5.6445 60.00 60.00 60.00
With the nearest neighbours (Å) after each atom.
Sites, in units of the cell vectors:
Pr (0.2500, 0.2500, 0.2500)  4 Pu 3.46, 4 Ce 3.46
Tb (0.7500, 0.7500, 0.7500)  4 Ce 3.46, 4 Pu 3.46
Ce (0.5000, 0.5000, 0.5000)  4 Pr 3.46, 4 Tb 3.46
Pu (0.0000, 0.0000, 0.0000)  4 Tb 3.46, 4 Pr 3.46

***

A relaxed Ce3Pr2PuTe6 crystal. Source: Alexandria via LeMat-Bulk, functional PBE.

energy relative to the elements, uncorrected: -1565.9 kJ/mol of formula units
density: 7.4 g/cm3

Lattice parameters (Å, degrees): 4.4664 9.0509 10.0802 103.72 102.80 90.00
With the nearest neighbours (Å) after each atom.
Sites, in units of the cell vectors:
Ce (0.5000, 0.5000, 0.0000)  6 Te 3.17-3.20
Ce (0.8317, 0.1653, 0.6634)  6 Te 3.16-3.18
Ce (0.1683, 0.8347, 0.3366)  6 Te 3.16-3.18
Pr (0.8343, 0.6685, 0.6687)  6 Te 3.18-3.20
Pr (0.1657, 0.3315, 0.3313)  6 Te 3.18-3.20
Pu (0.5000, 0.0000, 0.0000)  6 Te 3.14-3.15
Te (0.3352, 0.9198, 0.6704)  1 Pu 3.14, 3 Ce 3.16-3.18, 2 Pr 3.18
Te (0.6664, 0.5850, 0.3329)  3 Ce 3.17, 3 Pr 3.20
Te (0.6648, 0.0802, 0.3296)  1 Pu 3.14, 3 Ce 3.16-3.18, 2 Pr 3.18
Te (0.9984, 0.2452, 0.9968)  2 Pu 3.15, 3 Ce 3.18-3.20, 1 Pr 3.19
Te (0.0016, 0.7548, 0.0032)  2 Pu 3.15, 3 Ce 3.18-3.20, 1 Pr 3.19
Te (0.3336, 0.4150, 0.6671)  3 Ce 3.17, 3 Pr 3.20

***

A relaxed Ce2PrPu3Te6 crystal. Source: Alexandria via LeMat-Bulk, functional PBE.

energy relative to the elements, uncorrected: -1439.0 kJ/mol of formula units
density: 8.4 g/cm3

Lattice parameters (Å, degrees): 4.4611 8.9485 10.0033 102.82 102.88 90.00
With the nearest neighbours (Å) after each atom.
Sites, in units of the cell vectors:
Ce (0.8332, 0.6649, 0.6664)  6 Te 3.18-3.19
Ce (0.1668, 0.3351, 0.3336)  6 Te 3.18-3.19
Pr (0.5000, 0.0000, 0.0000)  6 Te 3.20-3.21
Pu (0.5000, 0.5000, 0.0000)  6 Te 3.12-3.15
Pu (0.8339, 0.1652, 0.6678)  6 Te 3.13-3.14
Pu (0.1661, 0.8348, 0.3322)  6 Te 3.13-3.14
Te (0.3310, 0.9183, 0.6621)  3 Pu 3.13, 2 Ce 3.19, 1 Pr 3.21
Te (0.6659, 0.5883, 0.3317)  3 Pu 3.14-3.15, 3 Ce 3.18
Te (0.6690, 0.0817, 0.3379)  3 Pu 3.13, 2 Ce 3.19, 1 Pr 3.21
Te (0.9994, 0.2555, 0.9988)  3 Pu 3.12-3.14, 1 Ce 3.18, 2 Pr 3.20
Te (0.0006, 0.7445, 0.0012)  3 Pu 3.12-3.14, 1 Ce 3.18, 2 Pr 3.20
Te (0.3341, 0.4117, 0.6683)  3 Pu 3.14-3.15, 3 Ce 3.18

***

A relaxed CePr3Pu2Te6 crystal. Source: Alexandria via LeMat-Bulk, functional PBE.

energy relative to the elements, uncorrected: -1536.9 kJ/mol of formula units
density: 7.8 g/cm3

Lattice parameters (Å, degrees): 7.7469 7.7469 7.8489 99.47 99.47 119.99
With the nearest neighbours (Å) after each atom.
Sites, in units of the cell vectors:
Ce (0.0000, 0.0000, 0.0000)  6 Te 3.17
Pr (0.1658, 0.8342, 0.5000)  6 Te 3.19-3.22
Pr (0.8342, 0.1658, 0.5000)  6 Te 3.19-3.22
Pr (0.5000, 0.5000, 0.5000)  6 Te 3.19-3.21
Pu (0.3330, 0.6670, 0.0000)  6 Te 3.14
Pu (0.6670, 0.3330, 0.0000)  6 Te 3.14
Te (0.9186, 0.5823, 0.7563)  2 Pu 3.14, 1 Ce 3.17, 3 Pr 3.19-3.22
Te (0.7444, 0.7444, 0.2428)  2 Pu 3.14, 1 Ce 3.17, 3 Pr 3.19-3.21
Te (0.0814, 0.4177, 0.2437)  2 Pu 3.14, 1 Ce 3.17, 3 Pr 3.19-3.22
Te (0.5823, 0.9186, 0.7563)  2 Pu 3.14, 1 Ce 3.17, 3 Pr 3.19-3.22
Te (0.2556, 0.2556, 0.7572)  2 Pu 3.14, 1 Ce 3.17, 3 Pr 3.19-3.21
Te (0.4177, 0.0814, 0.2437)  2 Pu 3.14, 1 Ce 3.17, 3 Pr 3.19-3.22

***

A relaxed CePrPuTl crystal. Source: Alexandria via LeMat-Bulk, functional PBE.

energy of formation from the pure elements: 43.6 meV/atom
density: 10.6 g/cm3

Lattice parameters (Å, degrees): 5.4503 5.4503 5.4503 60.00 60.00 60.00
With the nearest neighbours (Å) after each atom.
Sites, in units of the cell vectors:
Pr (0.2500, 0.2500, 0.2500)  4 Tl 3.34, 4 Ce 3.34
Tl (0.0000, 0.0000, 0.0000)  4 Pr 3.34, 4 Pu 3.34
Ce (0.5000, 0.5000, 0.5000)  4 Pr 3.34, 4 Pu 3.34
Pu (0.7500, 0.7500, 0.7500)  4 Tl 3.34, 4 Ce 3.34